[1]
The following is a DFT calculation (PBE) of crystalline EuTiSe2 at its relaxed geometry.

Unit cell a=9.172 b=9.172 c=9.172 alpha=23.60 beta=23.60 gamma=23.60
Fractional positions:
Eu (0.000, 0.000, 0.000)
Ti (0.500, 0.500, 0.500)
Se (0.111, 0.111, 0.111)
Se (0.889, 0.889, 0.889)

***

[2]
The following is a DFT calculation (PBE) of crystalline Eu3Ti5Se12 at its relaxed geometry.

Unit cell a=14.017 b=14.017 c=14.017 alpha=109.47 beta=109.47 gamma=109.47
Fractional positions:
Eu (0.125, 0.250, 0.375)
Eu (0.125, 0.375, 0.750)
Eu (0.250, 0.375, 0.125)
Eu (0.250, 0.875, 0.625)
Eu (0.375, 0.125, 0.250)
Eu (0.375, 0.750, 0.125)
Eu (0.625, 0.250, 0.875)
Eu (0.625, 0.875, 0.750)
Eu (0.750, 0.125, 0.375)
Eu (0.750, 0.625, 0.875)
Eu (0.875, 0.625, 0.250)
Eu (0.875, 0.750, 0.625)
Ti (0.000, 0.000, 0.000)
Ti (0.000, 0.000, 0.500)
Ti (0.000, 0.500, 0.000)
Ti (0.000, 0.500, 0.500)
Ti (0.125, 0.750, 0.875)
Ti (0.125, 0.875, 0.250)
Ti (0.250, 0.125, 0.875)
Ti (0.250, 0.625, 0.375)
Ti (0.375, 0.250, 0.625)
Ti (0.375, 0.625, 0.750)
Ti (0.500, 0.000, 0.000)
Ti (0.500, 0.000, 0.500)
Ti (0.500, 0.500, 0.000)
Ti (0.500, 0.500, 0.500)
Ti (0.625, 0.375, 0.250)
Ti (0.625, 0.750, 0.375)
Ti (0.750, 0.375, 0.625)
Ti (0.750, 0.875, 0.125)
Ti (0.875, 0.125, 0.750)
Ti (0.875, 0.250, 0.125)
Se (0.024, 0.204, 0.115)
Se (0.024, 0.320, 0.909)
Se (0.089, 0.704, 0.680)
Se (0.089, 0.885, 0.409)
Se (0.091, 0.615, 0.411)
Se (0.091, 0.976, 0.680)
Se (0.115, 0.024, 0.204)
Se (0.115, 0.591, 0.911)
Se (0.180, 0.204, 0.589)
Se (0.180, 0.476, 0.591)
Se (0.204, 0.115, 0.024)
Se (0.204, 0.589, 0.180)
Se (0.296, 0.320, 0.911)
Se (0.296, 0.476, 0.385)
Se (0.320, 0.909, 0.024)
Se (0.320, 0.911, 0.296)
Se (0.385, 0.296, 0.476)
Se (0.385, 0.589, 0.909)
Se (0.409, 0.089, 0.885)
Se (0.409, 0.820, 0.524)
Se (0.411, 0.091, 0.615)
Se (0.411, 0.820, 0.796)
Se (0.476, 0.385, 0.296)
Se (0.476, 0.591, 0.180)
Se (0.524, 0.409, 0.820)
Se (0.524, 0.615, 0.704)
Se (0.589, 0.180, 0.204)
Se (0.589, 0.909, 0.385)
Se (0.591, 0.180, 0.476)
Se (0.591, 0.911, 0.115)
Se (0.615, 0.411, 0.091)
Se (0.615, 0.704, 0.524)
Se (0.680, 0.089, 0.704)
Se (0.680, 0.091, 0.976)
Se (0.704, 0.524, 0.615)
Se (0.704, 0.680, 0.089)
Se (0.796, 0.411, 0.820)
Se (0.796, 0.885, 0.976)
Se (0.820, 0.524, 0.409)
Se (0.820, 0.796, 0.411)
Se (0.885, 0.409, 0.089)
Se (0.885, 0.976, 0.796)
Se (0.909, 0.024, 0.320)
Se (0.909, 0.385, 0.589)
Se (0.911, 0.115, 0.591)
Se (0.911, 0.296, 0.320)
Se (0.976, 0.680, 0.091)
Se (0.976, 0.796, 0.885)

***

[3]
The following is a DFT calculation (PBE) of crystalline EuTiSe3 at its relaxed geometry.

Unit cell a=4.999 b=4.999 c=4.999 alpha=90.00 beta=90.00 gamma=90.00
Fractional positions:
Eu (0.000, 0.000, 0.000)
Ti (0.500, 0.500, 0.500)
Se (0.000, 0.500, 0.500)
Se (0.500, 0.000, 0.500)
Se (0.500, 0.500, 0.000)

***

[4]
The following is a DFT calculation (PBE) of crystalline EuTlSe2 at its relaxed geometry.

Unit cell a=3.809 b=3.809 c=7.468 alpha=90.00 beta=90.00 gamma=90.00
Fractional positions:
Eu (0.000, 0.000, 0.000)
Tl (0.000, 0.000, 0.500)
Se (0.500, 0.500, 0.216)
Se (0.500, 0.500, 0.784)

***

[5]
The following is a DFT calculation (PBE) of crystalline EuTl2Se at its relaxed geometry.

Unit cell a=10.729 b=10.729 c=10.729 alpha=21.67 beta=21.67 gamma=21.67
Fractional positions:
Eu (0.000, 0.000, 0.000)
Tl (0.107, 0.107, 0.107)
Tl (0.893, 0.893, 0.893)
Se (0.500, 0.500, 0.500)

***

[6]
The following is a DFT calculation (PBE) of crystalline EuYSe2 at its relaxed geometry.

Unit cell a=7.326 b=7.326 c=7.326 alpha=33.06 beta=33.06 gamma=33.06
Fractional positions:
Eu (0.000, 0.000, 0.000)
Y (0.500, 0.500, 0.500)
Se (0.246, 0.246, 0.246)
Se (0.754, 0.754, 0.754)

***

[7]
The following is a DFT calculation (PBE) of crystalline EuZnSe2 at its relaxed geometry.

Unit cell a=7.949 b=7.949 c=7.949 alpha=34.43 beta=34.43 gamma=34.43
Fractional positions:
Eu (0.000, 0.000, 0.000)
Zn (0.500, 0.500, 0.500)
Se (0.399, 0.399, 0.399)
Se (0.601, 0.601, 0.601)

***

[8]
The following is a DFT calculation (PBE) of crystalline Eu2Zr5Se10 at its relaxed geometry.

Unit cell a=6.529 b=8.367 c=10.021 alpha=70.30 beta=71.04 gamma=67.28
Fractional positions:
Eu (0.112, 0.499, 0.280)
Eu (0.888, 0.501, 0.720)
Zr (0.094, 0.003, 0.796)
Zr (0.299, 0.997, 0.402)
Zr (0.500, 0.000, 0.000)
Zr (0.701, 0.003, 0.598)
Zr (0.906, 0.997, 0.204)
Se (0.080, 0.217, 0.961)
Se (0.124, 0.778, 0.644)
Se (0.274, 0.230, 0.554)
Se (0.329, 0.776, 0.245)
Se (0.489, 0.214, 0.155)
Se (0.511, 0.786, 0.845)
Se (0.671, 0.224, 0.755)
Se (0.726, 0.770, 0.446)
Se (0.876, 0.222, 0.356)
Se (0.920, 0.783, 0.039)

***

[9]
The following is a DFT calculation (PBE) of crystalline EuZrSe3 at its relaxed geometry.

Unit cell a=8.948 b=3.964 c=14.349 alpha=90.00 beta=90.00 gamma=90.00
Fractional positions:
Eu (0.057, 0.250, 0.178)
Eu (0.443, 0.750, 0.678)
Eu (0.557, 0.250, 0.322)
Eu (0.943, 0.750, 0.822)
Zr (0.172, 0.750, 0.446)
Zr (0.328, 0.250, 0.946)
Zr (0.672, 0.750, 0.054)
Zr (0.828, 0.250, 0.554)
Se (0.016, 0.750, 0.610)
Se (0.155, 0.750, 0.018)
Se (0.206, 0.250, 0.779)
Se (0.294, 0.750, 0.279)
Se (0.345, 0.250, 0.518)
Se (0.484, 0.250, 0.110)
Se (0.516, 0.750, 0.890)
Se (0.655, 0.750, 0.482)
Se (0.706, 0.250, 0.721)
Se (0.794, 0.750, 0.221)
Se (0.845, 0.250, 0.982)
Se (0.984, 0.250, 0.390)

***

[10]
The following is a DFT calculation (PBE) of crystalline Eu3Si at its relaxed geometry.

Unit cell a=4.847 b=4.847 c=4.929 alpha=90.00 beta=90.00 gamma=90.00
Fractional positions:
Eu (0.000, 0.000, 0.000)
Eu (0.000, 0.500, 0.500)
Eu (0.500, 0.000, 0.500)
Si (0.500, 0.500, 0.000)

***

[11]
The following is a DFT calculation (PBE) of crystalline EuSi2 at its relaxed geometry.

Unit cell a=5.443 b=5.443 c=5.443 alpha=60.00 beta=60.00 gamma=60.00
Fractional positions:
Eu (0.125, 0.125, 0.125)
Eu (0.875, 0.875, 0.875)
Si (0.000, 0.500, 0.500)
Si (0.500, 0.000, 0.500)
Si (0.500, 0.500, 0.000)
Si (0.500, 0.500, 0.500)

***

[12]
The following is a DFT calculation (PBE) of crystalline EuSi at its relaxed geometry.

Unit cell a=5.990 b=5.990 c=3.946 alpha=90.00 beta=90.00 gamma=135.09
Fractional positions:
Eu (0.141, 0.859, 0.750)
Eu (0.859, 0.141, 0.250)
Si (0.434, 0.566, 0.750)
Si (0.566, 0.434, 0.250)

***

The calculation returns the following energy values, one per record and in order: -29.1, -550.4, -34.9, -23.8, -19.2, -31.4, -23.0, -123.7, -148.9, -36.8, -44.3, -33.8 eV/cell.
The calculation returns the following density of states at the Fermi level values, one per record and in order: 0.59, 2.71, 2.14, 1.05, 0.54, 0.44, 3.38, 1.46, 2.76, 3.07, 0.12, 3.43 states/eV/atom.
The calculation returns the following ΔE_f (raw) values, one per record and in order: -3.97, -25.49, -6.26, -4.19, -0.74, -7.66, -4.50, -25.54, -7.95, -0.59, -1.04, -1.20 eV/f.u..